Record 1
VASP calculation (GGA+U) on a relaxed structure of VAs2BrF.

Cell: 4.8101 4.8101 5.0280 Å, 90.00 90.00 90.00°
Element x y z (fractional)
V: 0.0000 0.0000 0.0000
As: 0.0000 0.5000 0.0000
As: 0.5000 0.0000 0.0000
Br: 0.0000 0.0000 0.5000
F: 0.5000 0.5000 0.5000

Results
As for the space group: No. 123. As for the energy above the most stable polymorph in this dataset: 0 meV per atom.

=====

Record 2
VASP calculation (GGA+U) on a relaxed structure of VAs2BrF.

Cell: 4.2946 4.2946 5.7773 Å, 90.00 90.00 90.00°
Element x y z (fractional)
V: 0.0000 0.0000 0.0000
As: 0.0000 0.5000 0.5000
As: 0.5000 0.0000 0.5000
Br: 0.5000 0.5000 0.0000
F: 0.5000 0.5000 0.5000

Results
As for the space group: No. 123. As for the energy above the most stable polymorph in this dataset: 41 meV per atom.